No. 1
Density functional theory data (PBE-GGA) for Ba2GeRhBr after structural relaxation.

Unit cell a=6.1438 b=6.1438 c=4.6843 alpha=90.00 beta=90.00 gamma=90.00
With the nearest neighbours (Å) after each atom.
Atoms (fractional coordinates):
Ge (0.0000, 0.0000, 0.5000)  2 Rh 2.34
Rh (0.0000, 0.0000, 0.0000)  2 Ge 2.34
Ba (0.0000, 0.5000, 0.0000)  2 Rh 3.07
Ba (0.5000, 0.0000, 0.0000)  2 Rh 3.07
Br (0.5000, 0.5000, 0.5000)  8 Ba 3.86

Results
For the density of states at the Fermi level, the calculation gives 2.095 states/eV per cell. Its spin magnetization is 0.000 Bohr magnetons per cell. The formation energy without anion corrections is -0.90 eV/atom.

=====

No. 2
Density functional theory data (PBE-GGA) for BaGe2SBr after structural relaxation.

Unit cell a=5.0018 b=6.3574 c=5.0018 alpha=90.00 beta=90.00 gamma=90.00
With the nearest neighbours (Å) after each atom.
Atoms (fractional coordinates):
S (0.0000, 0.0000, 0.0000)  4 Ge 2.50
Ge (0.0000, 0.0000, 0.5000)  2 S 2.50
Ge (0.5000, 0.0000, 0.0000)  2 S 2.50
Ba (0.0000, 0.5000, 0.0000)  2 S 3.18, 4 Br 3.54
Br (0.5000, 0.5000, 0.5000)  4 Ba 3.54

Results
For the density of states at the Fermi level, the calculation gives 3.996 states/eV per cell. Its spin magnetization is 0.000 Bohr magnetons per cell. The formation energy without anion corrections is -0.40 eV/atom.

=====

No. 3
Density functional theory data (PBE-GGA) for BaGe2SBr after structural relaxation.

Unit cell a=6.2972 b=5.5282 c=6.2972 alpha=90.00 beta=90.00 gamma=90.00
With the nearest neighbours (Å) after each atom.
Atoms (fractional coordinates):
S (0.0000, 0.5000, 0.0000)  2 Ba 2.76
Ge (0.0000, 0.0000, 0.5000)  2 Ba 3.15
Ge (0.5000, 0.0000, 0.0000)  2 Ba 3.15
Ba (0.0000, 0.0000, 0.0000)  2 S 2.76
Br (0.5000, 0.5000, 0.5000)  8 Ge 4.19, 4 S 4.45

Results
For the density of states at the Fermi level, the calculation gives 4.254 states/eV per cell. Its spin magnetization is 0.802 Bohr magnetons per cell. The formation energy without anion corrections is 0.76 eV/atom.

=====

Question: Which formula does entry 3 have?
Answer: BaGe2SBr